Density functional theory data (PBE) for an optimized crystal structure of Pr5Sm2Dy3.

## Properties
**E above lowest polymorph**: 0.000 eV per atom
**Calculated total energy**: -45.38 eV/f.u.
**Energy of formation from the pure elements**: 176 meV/atom
**Calculated volume**: 697.68 Å³ per cell
**Crystal system**: monoclinic

Cell: 10.134 10.144 11.363 Å, 129.38 129.36 65.05°
Element x y z (fractional)
1 Pr 0.482 0.732 0.464
2 Dy 0.724 0.468 0.248
3 Dy 0.024 0.780 0.248
4 Sm 0.216 0.969 0.244
5 Pr 0.877 0.625 0.757
6 Pr 0.518 0.268 0.536
7 Pr 0.022 0.772 0.544
8 Pr 0.978 0.228 0.456
9 Sm 0.472 0.725 0.756
10 Sm 0.528 0.275 0.244
11 Dy 0.230 0.980 0.960
12 Pr 0.380 0.132 0.757
13 Dy 0.276 0.532 0.752
14 Dy 0.976 0.220 0.752
15 Pr 0.620 0.868 0.243
16 Pr 0.123 0.375 0.243
17 Sm 0.784 0.031 0.756
18 Dy 0.770 0.020 0.040
19 Pr 0.273 0.523 0.047
20 Pr 0.727 0.477 0.953